(1)
Compound: KZn2Os
Source: Alexandria via LeMat-Bulk
Functional: PBE-GGA
Structure: optimized geometry

Calculated values
The value obtained for the energy relative to the lowest polymorph listed for this composition is 1.96 eV/f.u. As for the crystal system: orthorhombic. Its total moment is 0.000 μB per atom. The formation energy comes out at 904 meV per atom.

abc: 2.592 5.147 5.818
angles: 90.00 90.00 90.00
Space group Pmmm (No. 47)
Asymmetric unit:
K 0.000 0.000 0.000
Zn 0.000 0.500 0.500
Zn 0.500 0.500 0.000
Os 0.500 0.000 0.500


(2)
Compound: MgTa2Ag
Source: Alexandria via LeMat-Bulk
Functional: PBE-GGA
Structure: optimized geometry

Calculated values
As for the crystal system: monoclinic. Its total moment is 0.000 μB per atom. The formation energy comes out at 262 meV per atom.

abc: 10.149 2.926 5.335
angles: 90.00 111.38 90.00
Space group Cm (No. 8)
Asymmetric unit:
Mg 0.000 0.000 0.000
Ta 0.235 0.000 0.590
Ta 0.489 0.000 0.501
Ag 0.247 0.500 0.089


(3)
Compound: GdZnPbAu
Source: Alexandria via LeMat-Bulk
Functional: PBE-GGA
Structure: optimized geometry

Calculated values
As for the crystal system: cubic. Its total moment is 1.754 μB per atom. The formation energy comes out at -411 meV per atom.

abc: 7.156 7.156 7.156
angles: 90.00 90.00 90.00
Space group F-43m (No. 216)
Asymmetric unit:
Gd 0.000 0.000 0.000
Zn 0.250 0.250 0.750
Pb 0.000 0.000 0.500
Au 0.250 0.250 0.250


(4)
Compound: SrNpCu2O8
Source: Alexandria via LeMat-Bulk
Functional: PBE-GGA
Structure: optimized geometry

Calculated values
The calculation puts the formation energy (no corrections) at -1.356 eV per atom. As for the crystal system: tetragonal. Its total moment is 0.061 μB per atom.

abc: 6.995 6.995 6.827
angles: 90.00 90.00 90.00
Space group I-4m2 (No. 119)
Asymmetric unit:
Sr 0.000 0.000 0.000
Np 0.000 0.500 0.250
Cu 0.000 0.000 0.500
Cu 0.000 0.500 0.750
O 0.000 0.215 0.315
O 0.000 0.340 0.954


(5)
Compound: SrCu2Ni
Source: Alexandria via LeMat-Bulk
Functional: PBE-GGA
Structure: optimized geometry

Calculated values
As for the crystal system: tetragonal. Its total moment is 0.000 μB per atom. The formation energy comes out at 314 meV per atom.

abc: 3.994 3.994 8.636
angles: 90.00 90.00 90.00
Space group I4/mmm (No. 139)
Asymmetric unit:
Sr 0.000 0.000 0.000
Cu 0.000 0.500 0.250
Ni 0.000 0.000 0.500


(6)
Compound: ScBi2MoIr
Source: Alexandria via LeMat-Bulk
Functional: PBE-GGA
Structure: optimized geometry

Calculated values
As for the crystal system: tetragonal. Its total moment is 0.696 μB per atom. The formation energy comes out at 1268 meV per atom.

abc: 5.463 5.463 4.715
angles: 90.00 90.00 90.00
Space group P4/mmm (No. 123)
Asymmetric unit:
Sc 0.000 0.000 0.000
Bi 0.000 0.500 0.000
Mo 0.500 0.500 0.500
Ir 0.000 0.000 0.500